Compound: Mg2TcNi
Source: Alexandria
Functional: PBE
Structure: relaxed

Output
Distance to the lowest polymorph of the same formula   0.40 eV per formula unit
Crystal system   monoclinic
Energy of formation from the pure elements   0.166 eV per atom
Mass density   5.64 Mg/m³

The structure in CIF format:
```
data_Mg2TcNi
_cell_length_a 5.536
_cell_length_b 8.723
_cell_length_c 2.652
_cell_angle_alpha 90.00
_cell_angle_beta 109.26
_cell_angle_gamma 90.00
_space_group_name_H-M_alt 'C 1 2/m 1'
_space_group_IT_number 12
loop_
_space_group_symop_operation_xyz
'x,y,z'
'-x,-y,-z'
'-x,y,-z'
'x,-y,z'
'x+1/2,y+1/2,z'
'-x+1/2,-y+1/2,-z'
'-x+1/2,y+1/2,-z'
'x+1/2,-y+1/2,z'
loop_
_atom_site_label
_atom_site_type_symbol
_atom_site_fract_x
_atom_site_fract_y
_atom_site_fract_z
Mg1 Mg 0.250 0.250 0.000
Tc1 Tc 0.000 0.000 0.500
Ni1 Ni 0.000 0.500 0.500
```